Entry 1:
Here is an optimized crystal structure of SrGa9Ni2 from Alexandria via LeMat-Bulk. Energies are from PBE.

Results
For the formation energy, the calculation gives -0.246 eV per atom. As for the total energy: -86.88 eV/cell.

a = 8.3748 Å, b = 8.3748 Å, c = 8.3748 Å
α = 101.54°, β = 101.54°, γ = 126.87°
Closest atoms and distances in Å follow each position.
Fractional coordinates of all 24 atoms:
Sr  0.3750  0.6250  0.7500  18 Ga 3.41-3.75
Sr  0.6250  0.3750  0.2500  18 Ga 3.41-3.75
Ga  0.1250  0.8750  0.2500  4 Ni 2.81, 8 Ga 2.83
Ga  0.1369  0.5664  0.3260  2 Ni 2.54-2.72, 4 Ga 2.59-2.83
Ga  0.1369  0.8109  0.5705  2 Ni 2.54-2.72, 4 Ga 2.59-2.83
Ga  0.1891  0.2596  0.3260  2 Ni 2.54-2.72, 4 Ga 2.59-2.83
Ga  0.1891  0.8631  0.9295  2 Ni 2.54-2.72, 4 Ga 2.59-2.83
Ga  0.2596  0.1891  0.8260  2 Ni 2.54-2.72, 4 Ga 2.59-2.83
Ga  0.2596  0.4336  0.0705  2 Ni 2.54-2.72, 4 Ga 2.59-2.83
Ga  0.4336  0.2596  0.5705  2 Ni 2.54-2.72, 4 Ga 2.59-2.83
Ga  0.4336  0.8631  0.1740  2 Ni 2.54-2.72, 4 Ga 2.59-2.83
Ga  0.5664  0.1369  0.8260  2 Ni 2.54-2.72, 4 Ga 2.59-2.83
Ga  0.5664  0.7404  0.4295  2 Ni 2.54-2.72, 4 Ga 2.59-2.83
Ga  0.7404  0.5664  0.9295  2 Ni 2.54-2.72, 4 Ga 2.59-2.83
Ga  0.7404  0.8109  0.1740  2 Ni 2.54-2.72, 4 Ga 2.59-2.83
Ga  0.8109  0.1369  0.0705  2 Ni 2.54-2.72, 4 Ga 2.59-2.83
Ga  0.8109  0.7404  0.6740  2 Ni 2.54-2.72, 4 Ga 2.59-2.83
Ga  0.8631  0.1891  0.4295  2 Ni 2.54-2.72, 4 Ga 2.59-2.83
Ga  0.8631  0.4336  0.6740  2 Ni 2.54-2.72, 4 Ga 2.59-2.83
Ga  0.8750  0.1250  0.7500  4 Ni 2.81, 8 Ga 2.83
Ni  0.0000  0.0000  0.0000  10 Ga 2.54-2.81
Ni  0.0000  0.0000  0.5000  10 Ga 2.54-2.81
Ni  0.0000  0.5000  0.0000  10 Ga 2.54-2.81
Ni  0.5000  0.0000  0.5000  10 Ga 2.54-2.81

=====

Entry 2:
Here is an optimized crystal structure of Sr6GaNi from Alexandria via LeMat-Bulk. Energies are from PBE.

Results
For the formation energy, the calculation gives -0.074 eV per atom. As for the total energy: -38.98 eV/cell.

a = 4.1834 Å, b = 12.0529 Å, c = 13.4474 Å
α = 90.00°, β = 90.00°, γ = 90.00°
Closest atoms and distances in Å follow each position.
Fractional coordinates of all 16 atoms:
Sr  0.0000  0.0000  0.0000  10 Sr 4.06-4.25
Sr  0.0000  0.1622  0.7192  2 Ni 3.32, 1 Ga 3.51
Sr  0.0000  0.3378  0.2192  2 Ni 3.32, 1 Ga 3.51
Sr  0.0000  0.5000  0.5000  10 Sr 4.06-4.25
Sr  0.0000  0.6622  0.2192  2 Ni 3.32, 1 Ga 3.51
Sr  0.0000  0.8378  0.7192  2 Ni 3.32, 1 Ga 3.51
Sr  0.5000  0.0000  0.2676  2 Ga 3.79, 6 Sr 3.80-4.18
Sr  0.5000  0.2122  0.4763  1 Ni 3.01, 2 Ga 3.32
Sr  0.5000  0.2878  0.9763  1 Ni 3.01, 2 Ga 3.32
Sr  0.5000  0.5000  0.7676  2 Ga 3.79, 6 Sr 3.80-4.18
Sr  0.5000  0.7122  0.9763  1 Ni 3.01, 2 Ga 3.32
Sr  0.5000  0.7878  0.4763  1 Ni 3.01, 2 Ga 3.32
Ga  0.0000  0.0000  0.5027  2 Ni 2.43
Ga  0.0000  0.5000  0.0027  2 Ni 2.43
Ni  0.5000  0.0000  0.5940  2 Ga 2.43
Ni  0.5000  0.5000  0.0940  2 Ga 2.43

=====

Entry 3:
Here is an optimized crystal structure of Sr2GaNi16 from Alexandria via LeMat-Bulk. Energies are from PBE.

Results
For the formation energy, the calculation gives -0.057 eV per atom. As for the total energy: -99.97 eV/cell.

a = 6.3667 Å, b = 6.3667 Å, c = 6.3667 Å
α = 83.40°, β = 83.40°, γ = 83.40°
Closest atoms and distances in Å follow each position.
Fractional coordinates of all 19 atoms:
Sr  0.0000  0.0000  0.0000  19 Ni 3.01-3.27
Sr  0.3067  0.3067  0.3067  18 Ni 3.04-3.31, 1 Ga 3.11
Ga  0.5610  0.5610  0.5610  7 Ni 2.36-2.60
Ni  0.1554  0.6559  0.6559  9 Ni 2.39-2.58, 1 Ga 2.60
Ni  0.3156  0.3156  0.8030  8 Ni 2.42-2.61, 1 Ga 2.59
Ni  0.3156  0.8030  0.3156  8 Ni 2.42-2.61, 1 Ga 2.59
Ni  0.3684  0.6563  0.9443  8 Ni 2.39-2.63
Ni  0.3684  0.9443  0.6563  8 Ni 2.39-2.63
Ni  0.5083  0.9955  0.9955  9 Ni 2.42-2.63
Ni  0.6559  0.1554  0.6559  9 Ni 2.39-2.58, 1 Ga 2.60
Ni  0.6563  0.3684  0.9443  8 Ni 2.39-2.63
Ni  0.6559  0.6559  0.1554  9 Ni 2.39-2.58, 1 Ga 2.60
Ni  0.6563  0.9443  0.3684  8 Ni 2.39-2.63
Ni  0.7539  0.7539  0.7539  1 Ga 2.36, 6 Ni 2.57-2.58
Ni  0.8030  0.3156  0.3156  8 Ni 2.42-2.61, 1 Ga 2.59
Ni  0.9443  0.3684  0.6563  8 Ni 2.39-2.63
Ni  0.9443  0.6563  0.3684  8 Ni 2.39-2.63
Ni  0.9955  0.5083  0.9955  9 Ni 2.42-2.63
Ni  0.9955  0.9955  0.5083  9 Ni 2.42-2.63

=====

Entry 4:
Here is an optimized crystal structure of Sr2Ga4Ni from Alexandria via LeMat-Bulk. Energies are from PBE.

Results
For the formation energy, the calculation gives -0.307 eV per atom. As for the total energy: -46.81 eV/cell.

a = 4.6102 Å, b = 4.6102 Å, c = 16.5137 Å
α = 90.00°, β = 90.00°, γ = 90.00°
Closest atoms and distances in Å follow each position.
Fractional coordinates of all 14 atoms:
Sr  0.0000  0.0000  0.1587  9 Ga 3.25-3.49
Sr  0.0000  0.0000  0.8413  9 Ga 3.25-3.49
Sr  0.5000  0.5000  0.3413  9 Ga 3.25-3.49
Sr  0.5000  0.5000  0.6587  9 Ga 3.25-3.49
Ga  0.0000  0.0000  0.3556  1 Ni 2.38
Ga  0.0000  0.0000  0.6444  1 Ni 2.38
Ga  0.0000  0.5000  0.0000  2 Ni 2.31
Ga  0.0000  0.5000  0.5000  2 Ni 2.31
Ga  0.5000  0.0000  0.0000  2 Ni 2.31
Ga  0.5000  0.0000  0.5000  2 Ni 2.31
Ga  0.5000  0.5000  0.1444  1 Ni 2.38
Ga  0.5000  0.5000  0.8556  1 Ni 2.38
Ni  0.0000  0.0000  0.5000  6 Ga 2.31-2.38
Ni  0.5000  0.5000  0.0000  6 Ga 2.31-2.38

=====

Entry 5:
Here is an optimized crystal structure of SrGa6Ni2 from Alexandria via LeMat-Bulk. Energies are from PBE.

Results
For the formation energy, the calculation gives -0.033 eV per atom. As for the total energy: -63.40 eV/cell.

a = 8.3630 Å, b = 8.3630 Å, c = 8.3630 Å
α = 60.00°, β = 60.00°, γ = 60.00°
Closest atoms and distances in Å follow each position.
Fractional coordinates of all 18 atoms:
Sr  0.1250  0.1250  0.1250  6 Ga 3.38
Sr  0.8750  0.8750  0.8750  6 Ga 3.38
Ga  0.1612  0.1612  0.5888  2 Ni 2.34
Ga  0.1612  0.5888  0.1612  2 Ni 2.34
Ga  0.1612  0.5888  0.5888  2 Ni 2.34
Ga  0.4112  0.4112  0.8388  2 Ni 2.34
Ga  0.4112  0.8388  0.4112  2 Ni 2.34
Ga  0.4112  0.8388  0.8388  2 Ni 2.34
Ga  0.5888  0.1612  0.1612  2 Ni 2.34
Ga  0.5888  0.1612  0.5888  2 Ni 2.34
Ga  0.5888  0.5888  0.1612  2 Ni 2.34
Ga  0.8388  0.4112  0.4112  2 Ni 2.34
Ga  0.8388  0.4112  0.8388  2 Ni 2.34
Ga  0.8388  0.8388  0.4112  2 Ni 2.34
Ni  0.0000  0.5000  0.5000  6 Ga 2.34
Ni  0.5000  0.0000  0.5000  6 Ga 2.34
Ni  0.5000  0.5000  0.0000  6 Ga 2.34
Ni  0.5000  0.5000  0.5000  6 Ga 2.34

=====

Entry 6:
Here is an optimized crystal structure of SrGa2Ni2 from Alexandria via LeMat-Bulk. Energies are from PBE.

Results
For the formation energy, the calculation gives -0.406 eV per atom. As for the total energy: -42.66 eV/cell.

a = 8.1957 Å, b = 6.9145 Å, c = 6.0147 Å
α = 78.33°, β = 55.72°, γ = 45.95°
Closest atoms and distances in Å follow each position.
Fractional coordinates of all 10 atoms:
Sr  0.1250  0.1250  0.1250  8 Ni 3.21-3.49, 10 Ga 3.30-3.52
Sr  0.8750  0.8750  0.8750  8 Ni 3.21-3.49, 10 Ga 3.30-3.52
Ga  0.1886  0.5614  0.1886  4 Ni 2.38-2.40
Ga  0.4386  0.8114  0.4386  4 Ni 2.38-2.40
Ga  0.5614  0.1886  0.5614  4 Ni 2.38-2.40
Ga  0.8114  0.4386  0.8114  4 Ni 2.38-2.40
Ni  0.2658  0.2658  0.4842  4 Ga 2.38-2.40
Ni  0.4842  0.4842  0.2658  4 Ga 2.38-2.40
Ni  0.5158  0.5158  0.7342  4 Ga 2.38-2.40
Ni  0.7342  0.7342  0.5158  4 Ga 2.38-2.40

=====

Entry 7:
Here is an optimized crystal structure of Sr3Ga8Ni3 from Alexandria via LeMat-Bulk. Energies are from PBE.

Results
For the formation energy, the calculation gives -0.395 eV per atom. As for the total energy: -52.13 eV/cell.

a = 8.3837 Å, b = 8.3837 Å, c = 8.3837 Å
α = 150.27°, β = 103.82°, γ = 83.85°
Closest atoms and distances in Å follow each position.
Fractional coordinates of all 14 atoms:
Sr  0.0000  0.0000  0.0000  12 Ga 3.33-3.44, 4 Ni 3.49
Sr  0.3206  0.3206  0.0000  4 Ni 3.10-3.30, 8 Ga 3.15-3.26
Sr  0.6794  0.6794  0.0000  4 Ni 3.10-3.30, 8 Ga 3.15-3.26
Ga  0.0176  0.6728  0.3448  1 Ni 2.44, 2 Ga 2.70
Ga  0.1846  0.8909  0.2937  3 Ni 2.53-2.56, 4 Ga 2.70-2.77
Ga  0.3280  0.6728  0.6552  1 Ni 2.44, 2 Ga 2.70
Ga  0.4028  0.1091  0.2937  3 Ni 2.53-2.56, 4 Ga 2.70-2.77
Ga  0.5972  0.8909  0.7063  3 Ni 2.53-2.56, 4 Ga 2.70-2.77
Ga  0.6720  0.3272  0.3448  1 Ni 2.44, 2 Ga 2.70
Ga  0.8154  0.1091  0.7063  3 Ni 2.53-2.56, 4 Ga 2.70-2.77
Ga  0.9824  0.3272  0.6552  1 Ni 2.44, 2 Ga 2.70
Ni  0.2655  0.5000  0.7655  6 Ga 2.44-2.56
Ni  0.5000  0.0000  0.5000  4 Ga 2.53
Ni  0.7345  0.5000  0.2345  6 Ga 2.44-2.56

=====

Entry 8:
Here is an optimized crystal structure of SrGa4Ni6 from Alexandria via LeMat-Bulk. Energies are from PBE.

Results
For the formation energy, the calculation gives -0.332 eV per atom. As for the total energy: -52.13 eV/cell.

a = 6.9158 Å, b = 6.9158 Å, c = 3.8599 Å
α = 90.00°, β = 90.00°, γ = 120.00°
Closest atoms and distances in Å follow each position.
Fractional coordinates of all 11 atoms:
Sr  0.0000  0.0000  0.0000  6 Ga 3.08, 6 Ni 3.17
Ga  0.2008  0.4016  0.5000  6 Ni 2.46-2.50, 2 Ga 2.75
Ga  0.2008  0.7992  0.5000  6 Ni 2.46-2.50, 2 Ga 2.75
Ga  0.5984  0.7992  0.5000  6 Ni 2.46-2.50, 2 Ga 2.75
Ga  0.6667  0.3333  0.0000  9 Ni 2.41-2.43
Ni  0.0698  0.5349  0.0000  5 Ga 2.41-2.50
Ni  0.4198  0.2099  0.5000  4 Ga 2.43-2.46, 2 Ni 2.56
Ni  0.4651  0.5349  0.0000  5 Ga 2.41-2.50
Ni  0.4651  0.9302  0.0000  5 Ga 2.41-2.50
Ni  0.7901  0.2099  0.5000  4 Ga 2.43-2.46, 2 Ni 2.56
Ni  0.7901  0.5802  0.5000  4 Ga 2.43-2.46, 2 Ni 2.56

=====

Entry 9:
Here is an optimized crystal structure of SrGa3Ni3 from Alexandria via LeMat-Bulk. Energies are from PBE.

Results
For the formation energy, the calculation gives -0.127 eV per atom. The energy above the lowest structure with this stoichiometry comes out at 72.7 meV per atom. As for the total energy: -57.99 eV/cell.

a = 6.5619 Å, b = 6.5619 Å, c = 6.5619 Å
α = 90.00°, β = 90.00°, γ = 90.00°
Closest atoms and distances in Å follow each position.
Fractional coordinates of all 14 atoms:
Sr  0.0000  0.0000  0.0000  12 Ni 3.67, 12 Ga 3.67
Sr  0.5000  0.5000  0.5000  12 Ni 3.67, 12 Ga 3.67
Ga  0.0000  0.2500  0.5000  4 Ni 2.32
Ga  0.0000  0.7500  0.5000  4 Ni 2.32
Ga  0.2500  0.5000  0.0000  4 Ni 2.32
Ga  0.5000  0.0000  0.2500  4 Ni 2.32
Ga  0.5000  0.0000  0.7500  4 Ni 2.32
Ga  0.7500  0.5000  0.0000  4 Ni 2.32
Ni  0.0000  0.5000  0.2500  4 Ga 2.32
Ni  0.0000  0.5000  0.7500  4 Ga 2.32
Ni  0.2500  0.0000  0.5000  4 Ga 2.32
Ni  0.5000  0.2500  0.0000  4 Ga 2.32
Ni  0.5000  0.7500  0.0000  4 Ga 2.32
Ni  0.7500  0.0000  0.5000  4 Ga 2.32

=====

Entry 10:
Here is an optimized crystal structure of Sr2Ga2Ni from Alexandria via LeMat-Bulk. Energies are from PBE.

Results
For the formation energy, the calculation gives -0.360 eV per atom. The energy above the lowest structure with this stoichiometry comes out at 0.0 meV per atom. As for the total energy: -33.99 eV/cell.

a = 6.2884 Å, b = 6.2884 Å, c = 11.3842 Å
α = 115.07°, β = 115.07°, γ = 39.48°
Closest atoms and distances in Å follow each position.
Fractional coordinates of all 10 atoms:
Sr  0.0095  0.0095  0.1604  5 Ga 3.24-3.38, 3 Ni 3.26-3.45, 1 Sr 3.56
Sr  0.1916  0.1916  0.6151  6 Ga 3.22-3.51, 2 Ni 3.27
Sr  0.8084  0.8084  0.3849  6 Ga 3.22-3.51, 2 Ni 3.27
Sr  0.9905  0.9905  0.8396  5 Ga 3.24-3.38, 3 Ni 3.26-3.45, 1 Sr 3.56
Ga  0.2983  0.2983  0.9404  3 Ni 2.46-2.53
Ga  0.4921  0.4921  0.6248  1 Ni 2.54
Ga  0.5079  0.5079  0.3752  1 Ni 2.54
Ga  0.7017  0.7017  0.0596  3 Ni 2.46-2.53
Ni  0.3022  0.3022  0.1641  4 Ga 2.46-2.54
Ni  0.6978  0.6978  0.8359  4 Ga 2.46-2.54

=====

Entry 11:
Here is an optimized crystal structure of Sr3Ga2Ni2 from Alexandria via LeMat-Bulk. Energies are from PBE.

Results
For the formation energy, the calculation gives -0.285 eV per atom. As for the total energy: -98.62 eV/cell.

a = 6.0821 Å, b = 8.3297 Å, c = 13.5748 Å
α = 90.00°, β = 90.00°, γ = 90.00°
Closest atoms and distances in Å follow each position.
Fractional coordinates of all 28 atoms:
Sr  0.1417  0.1094  0.0989  2 Ni 2.99-3.10, 3 Ga 3.28-3.34
Sr  0.1417  0.1094  0.4011  2 Ni 2.99-3.10, 3 Ga 3.28-3.34
Sr  0.1417  0.3906  0.5989  2 Ni 2.99-3.10, 3 Ga 3.28-3.34
Sr  0.1417  0.3906  0.9011  2 Ni 2.99-3.10, 3 Ga 3.28-3.34
Sr  0.3506  0.7327  0.7500  4 Ga 3.06-3.41, 4 Ni 3.25-3.30
Sr  0.3506  0.7673  0.2500  4 Ga 3.06-3.41, 4 Ni 3.25-3.30
Sr  0.6494  0.2327  0.7500  4 Ga 3.06-3.41, 4 Ni 3.25-3.30
Sr  0.6494  0.2673  0.2500  4 Ga 3.06-3.41, 4 Ni 3.25-3.30
Sr  0.8583  0.6094  0.0989  2 Ni 2.99-3.10, 3 Ga 3.28-3.34
Sr  0.8583  0.6094  0.4011  2 Ni 2.99-3.10, 3 Ga 3.28-3.34
Sr  0.8583  0.8906  0.5989  2 Ni 2.99-3.10, 3 Ga 3.28-3.34
Sr  0.8583  0.8906  0.9011  2 Ni 2.99-3.10, 3 Ga 3.28-3.34
Ga  0.1885  0.0810  0.7500  2 Ni 2.57
Ga  0.1885  0.4190  0.2500  2 Ni 2.57
Ga  0.3932  0.7500  0.0000  4 Ni 2.57-2.59
Ga  0.3932  0.7500  0.5000  4 Ni 2.57-2.59
Ga  0.6068  0.2500  0.0000  4 Ni 2.57-2.59
Ga  0.6068  0.2500  0.5000  4 Ni 2.57-2.59
Ga  0.8115  0.5810  0.7500  2 Ni 2.57
Ga  0.8115  0.9190  0.2500  2 Ni 2.57
Ni  0.3834  0.0248  0.5859  3 Ga 2.57-2.59, 1 Ni 2.76
Ni  0.3834  0.0248  0.9141  3 Ga 2.57-2.59, 1 Ni 2.76
Ni  0.3834  0.4752  0.0859  3 Ga 2.57-2.59, 1 Ni 2.76
Ni  0.3834  0.4752  0.4141  3 Ga 2.57-2.59, 1 Ni 2.76
Ni  0.6166  0.5248  0.5859  3 Ga 2.57-2.59, 1 Ni 2.76
Ni  0.6166  0.5248  0.9141  3 Ga 2.57-2.59, 1 Ni 2.76
Ni  0.6166  0.9752  0.0859  3 Ga 2.57-2.59, 1 Ni 2.76
Ni  0.6166  0.9752  0.4141  3 Ga 2.57-2.59, 1 Ni 2.76